An optimized crystal structure of K2UI4O2. Source: Alexandria, functional GGA-PBE.

Geometry as CIF:
```
data_K2UI4O2
_chemical_formula_sum 'K4 U2 I8 O4'
_symmetry_space_group_name_H-M 'C 1 2/m 1'
_symmetry_Int_Tables_number 12
_symmetry_space_group_name_Hall '-C 2y'
_cell_length_a 12.895
_cell_length_b 8.498
_cell_length_c 6.359
_cell_angle_alpha 90.00
_cell_angle_beta 94.88
_cell_angle_gamma 90.00
loop_
_atom_site_label
_atom_site_fract_x
_atom_site_fract_y
_atom_site_fract_z
K1 0.151 0.000 0.279
U1 0.000 0.500 0.500
I1 0.119 0.240 0.757
O1 0.103 0.500 0.327
```

Output
Total energy   -0.3701 Ry per atom
Crystal system   monoclinic
Formation energy from raw total energies   -1746 meV/atom


An optimized crystal structure of K2U3I4O20. Source: Alexandria, functional GGA-PBE.

Geometry as CIF:
```
data_K2U3I4O20
_chemical_formula_sum 'K2 U3 I4 O20'
_symmetry_space_group_name_H-M 'P -1'
_symmetry_Int_Tables_number 2
_symmetry_space_group_name_Hall '-P 1'
_cell_length_a 7.080
_cell_length_b 8.127
_cell_length_c 9.269
_cell_angle_alpha 92.06
_cell_angle_beta 105.28
_cell_angle_gamma 91.30
loop_
_atom_site_label
_atom_site_fract_x
_atom_site_fract_y
_atom_site_fract_z
K1 0.247 0.396 0.163
U1 0.049 0.912 0.189
U2 0.500 0.000 0.000
I1 0.203 0.649 0.556
I2 0.379 0.214 0.630
O1 0.025 0.699 0.108
O2 0.064 0.803 0.433
O3 0.077 0.121 0.276
O4 0.150 0.469 0.426
O5 0.190 0.007 0.012
O6 0.276 0.105 0.771
O7 0.388 0.882 0.281
O8 0.411 0.415 0.724
O9 0.454 0.712 0.550
O10 0.457 0.792 0.913
```

Output
Total energy   -0.4819 Ry per atom
Crystal system   triclinic
Formation energy from raw total energies   -1680 meV/atom